A plane-wave DFT calculation with PBE+U was carried out for a relaxed HoFeGe2O7 crystal.

Structure (POSCAR):
```
HoFeGe2O7
1.0
4.344 5.418 -0.018
-4.344 5.418 -0.018
0.000 3.048 5.962
O Ge Ho Fe
14 4 2 2
Direct
0.069 0.714 0.330
0.631 0.631 0.468
0.369 0.369 0.532
0.225 0.554 0.901
0.814 0.814 0.688
0.135 0.135 0.957
0.186 0.186 0.312
0.775 0.446 0.099
0.446 0.775 0.099
0.286 0.931 0.670
0.714 0.069 0.330
0.554 0.225 0.901
0.931 0.286 0.670
0.865 0.865 0.043
0.197 0.197 0.577
0.803 0.803 0.423
0.718 0.718 0.986
0.282 0.282 0.014
0.705 0.295 0.500
0.295 0.705 0.500
0.804 0.196 0.000
0.196 0.804 0.000
```

Output
Total magnetic moment ... 5.0 μB per formula unit
Calculated total energy ... -7.016 eV per atom